[1]
# NdHoEr2 PBE optimized geometry
data_NdHoEr2
_chemical_formula_sum 'Nd1 Ho1 Er2'
_cell_length_a 3.5694
_cell_length_b 3.5694
_cell_length_c 11.4514
_cell_angle_alpha 90.00
_cell_angle_beta 90.00
_cell_angle_gamma 120.00
_space_group_name_H-M_alt 'P -3 m 1'
_space_group_IT_number 164
_space_group_name_Hall '-P 3 2"'
loop_
_atom_site_label
_atom_site_fract_x
_atom_site_fract_y
_atom_site_fract_z
Nd1 0.0000 0.0000 0.0000
Ho1 0.0000 0.0000 0.5000
Er1 0.3333 0.6667 0.7465
# Distance to the lowest polymorph of the same formula (meV per atom): 0
# D(E_F) (states/eV per atom): 1.21
# Total moment (μB per formula unit): 0.00
# Calculated density (g/cm³): 8.5
# Calculated formation energy (eV per atom): 0.002

---

[2]
# Nd15HoEr4 PBE optimized geometry
data_Nd15HoEr4
_chemical_formula_sum 'Nd15 Ho1 Er4'
_cell_length_a 5.1518
_cell_length_b 5.1518
_cell_length_c 25.6208
_cell_angle_alpha 90.00
_cell_angle_beta 90.00
_cell_angle_gamma 90.00
_space_group_name_H-M_alt 'P 4/m m m'
_space_group_IT_number 123
_space_group_name_Hall '-P 4 2'
loop_
_atom_site_label
_atom_site_fract_x
_atom_site_fract_y
_atom_site_fract_z
Nd1 0.0000 0.0000 0.0000
Nd2 0.0000 0.0000 0.2002
Nd3 0.0000 0.0000 0.4000
Nd4 0.0000 0.5000 0.1002
Nd5 0.0000 0.5000 0.3001
Nd6 0.0000 0.5000 0.5000
Ho1 0.5000 0.5000 0.0000
Er1 0.5000 0.5000 0.2002
Er2 0.5000 0.5000 0.4000
# D(E_F) (states/eV per atom): 1.30
# Total moment (μB per formula unit): 0.00
# Calculated density (g/cm³): 7.3
# Calculated formation energy (eV per atom): 0.010

---

[3]
# Nd4Ho5Er PBE optimized geometry
data_Nd4Ho5Er
_chemical_formula_sum 'Nd8 Ho10 Er2'
_cell_length_a 10.6844
_cell_length_b 10.6844
_cell_length_c 5.9441
_cell_angle_alpha 90.00
_cell_angle_beta 90.00
_cell_angle_gamma 90.00
_space_group_name_H-M_alt 'I 4 m m'
_space_group_IT_number 107
_space_group_name_Hall 'I 4 -2'
loop_
_atom_site_label
_atom_site_fract_x
_atom_site_fract_y
_atom_site_fract_z
Nd1 0.0000 0.3230 0.0000
Ho1 0.0000 0.0000 0.2422
Ho2 0.1885 0.1885 0.5043
Er1 0.0000 0.0000 0.7652
# Distance to the lowest polymorph of the same formula (meV per atom): 48
# D(E_F) (states/eV per atom): 1.28
# Total moment (μB per formula unit): 0.00
# Calculated density (g/cm³): 7.7
# Calculated formation energy (eV per atom): 0.238

---

[4]
# Nd8Ho2Er3 PBE optimized geometry
data_Nd8Ho2Er3
_chemical_formula_sum 'Nd8 Ho2 Er3'
_cell_length_a 5.7250
_cell_length_b 7.7269
_cell_length_c 10.8850
_cell_angle_alpha 110.76
_cell_angle_beta 90.02
_cell_angle_gamma 90.00
_space_group_name_H-M_alt 'P -1'
_space_group_IT_number 2
loop_
_space_group_symop_operation_xyz
'x,y,z'
'-x,-y,-z'
loop_
_atom_site_label
_atom_site_fract_x
_atom_site_fract_y
_atom_site_fract_z
Nd1 0.0001 0.0987 0.2886
Nd2 0.9999 0.3102 0.7114
Nd3 0.4994 0.6306 0.7610
Nd4 0.5004 0.1735 0.8467
Ho1 0.0008 0.2610 0.0210
Er1 0.0000 0.5000 0.5000
Er2 0.5000 0.2143 0.5000
# D(E_F) (states/eV per atom): 1.40
# Total moment (μB per formula unit): 0.00
# Calculated density (g/cm³): 7.3
# Calculated formation energy (eV per atom): 0.201

---

[5]
# NdHo2Er PBE optimized geometry
data_NdHo2Er
_chemical_formula_sum 'Nd3 Ho6 Er3'
_cell_length_a 3.5855
_cell_length_b 3.5855
_cell_length_c 34.4297
_cell_angle_alpha 90.00
_cell_angle_beta 90.00
_cell_angle_gamma 120.00
_space_group_name_H-M_alt 'R 3 m'
_space_group_IT_number 160
_space_group_name_Hall 'R 3 -2"'
loop_
_atom_site_label
_atom_site_fract_x
_atom_site_fract_y
_atom_site_fract_z
Nd1 0.0000 0.0000 0.0000
Ho1 0.0000 0.0000 0.4188
Ho2 0.0000 0.0000 0.5818
Er1 0.0000 0.0000 0.8341
# Distance to the lowest polymorph of the same formula (meV per atom): 5
# D(E_F) (states/eV per atom): 1.58
# Total moment (μB per formula unit): 0.00
# Calculated density (g/cm³): 8.3
# Calculated formation energy (eV per atom): 0.007

---

[6]
# Nd2Ho5Er PBE optimized geometry
data_Nd2Ho5Er
_chemical_formula_sum 'Nd4 Ho10 Er2'
_cell_length_a 7.1223
_cell_length_b 14.2449
_cell_length_c 5.0299
_cell_angle_alpha 90.00
_cell_angle_beta 90.00
_cell_angle_gamma 90.00
_space_group_name_H-M_alt 'P b a m'
_space_group_IT_number 55
loop_
_space_group_symop_operation_xyz
'x,y,z'
'-x,-y,-z'
'-x,-y,z'
'x,y,-z'
'x+1/2,-y+1/2,-z'
'-x+1/2,y+1/2,z'
'-x+1/2,y+1/2,-z'
'x+1/2,-y+1/2,z'
loop_
_atom_site_label
_atom_site_fract_x
_atom_site_fract_y
_atom_site_fract_z
Nd1 0.2492 0.1249 0.0000
Ho1 0.0000 0.5000 0.5000
Ho2 0.0010 0.7501 0.5000
Ho3 0.2492 0.3750 0.0000
Er1 0.0000 0.0000 0.5000
# Distance to the lowest polymorph of the same formula (meV per atom): 0
# D(E_F) (states/eV per atom): 1.37
# Total moment (μB per formula unit): 0.00
# Calculated density (g/cm³): 8.3
# Calculated formation energy (eV per atom): 0.021

---

[7]
# Nd12Ho2Er PBE optimized geometry
data_Nd12Ho2Er
_chemical_formula_sum 'Nd24 Ho4 Er2'
_cell_length_a 6.5596
_cell_length_b 6.5596
_cell_length_c 25.5518
_cell_angle_alpha 90.00
_cell_angle_beta 90.00
_cell_angle_gamma 90.00
_space_group_name_H-M_alt 'P 4/n b m'
_space_group_IT_number 125
loop_
_space_group_symop_operation_xyz
'x,y,z'
'-x,-y,-z'
'-y+1/2,x,z'
'y+1/2,-x,-z'
'-x+1/2,-y+1/2,z'
'x+1/2,y+1/2,-z'
'y,-x+1/2,z'
'-y,x+1/2,-z'
'x,-y+1/2,-z'
'-x,y+1/2,z'
'-y+1/2,-x+1/2,-z'
'y+1/2,x+1/2,z'
'-x+1/2,y,-z'
'x+1/2,-y,z'
'y,x,-z'
'-y,-x,z'
loop_
_atom_site_label
_atom_site_fract_x
_atom_site_fract_y
_atom_site_fract_z
Nd1 0.0675 0.5675 0.1136
Nd2 0.0819 0.5819 0.5626
Nd3 0.2500 0.2500 0.2146
Nd4 0.2500 0.2500 0.3366
Ho1 0.2500 0.7500 0.2716
Er1 0.2500 0.7500 0.0000
# D(E_F) (states/eV per atom): 1.29
# Total moment (μB per formula unit): 0.00
# Calculated density (g/cm³): 6.7
# Calculated formation energy (eV per atom): 0.323

---

[8]
# Nd12Ho5Er2 PBE optimized geometry
data_Nd12Ho5Er2
_chemical_formula_sum 'Nd24 Ho10 Er4'
_cell_length_a 17.9631
_cell_length_b 11.7432
_cell_length_c 6.2343
_cell_angle_alpha 90.00
_cell_angle_beta 102.43
_cell_angle_gamma 90.00
_space_group_name_H-M_alt 'C 1 2/m 1'
_space_group_IT_number 12
loop_
_space_group_symop_operation_xyz
'x,y,z'
'-x,-y,-z'
'-x,y,-z'
'x,-y,z'
'x+1/2,y+1/2,z'
'-x+1/2,-y+1/2,-z'
'-x+1/2,y+1/2,-z'
'x+1/2,-y+1/2,z'
loop_
_atom_site_label
_atom_site_fract_x
_atom_site_fract_y
_atom_site_fract_z
Nd1 0.0562 0.0000 0.2735
Nd2 0.1037 0.2519 0.6170
Nd3 0.1191 0.5000 0.0041
Nd4 0.1964 0.2423 0.1981
Ho1 0.0000 0.5000 0.5000
Ho2 0.1780 0.0000 0.8595
Ho3 0.2162 0.5000 0.5557
Er1 0.0000 0.2679 0.0000
# Distance to the lowest polymorph of the same formula (meV per atom): 0
# D(E_F) (states/eV per atom): 1.42
# Total moment (μB per formula unit): 0.00
# Calculated density (g/cm³): 7.5
# Calculated formation energy (eV per atom): 0.100

---

| no. | electronic total energy (eV for the cell shown) |
| --- | --- |
| 1 | -18.5 |
| 2 | -94.1 |
| 3 | -88.3 |
| 4 | -58.4 |
| 5 | -55.4 |
| 6 | -73.6 |
| 7 | -132.2 |
| 8 | -174.7 |